1.
# TmPu2Te4 PBE relaxed
data_TmPu2Te4
_symmetry_space_group_name_H-M 'C 1 2/m 1'
_symmetry_Int_Tables_number 12
_cell_length_a 16.229
_cell_length_b 4.392
_cell_length_c 7.776
_cell_angle_alpha 90.00
_cell_angle_beta 117.79
_cell_angle_gamma 90.00
loop_
_symmetry_equiv_pos_as_xyz
'x,y,z'
'-x,-y,-z'
'-x,y,-z'
'x,-y,z'
'x+1/2,y+1/2,z'
'-x+1/2,-y+1/2,-z'
'-x+1/2,y+1/2,-z'
'x+1/2,-y+1/2,z'
loop_
_atom_site_label
_atom_site_type_symbol
_atom_site_fract_x
_atom_site_fract_y
_atom_site_fract_z
Tm1 Tm 0.000 0.000 0.000
Pu1 Pu 0.236 0.500 0.727
Te1 Te 0.118 0.000 0.436
Te2 Te 0.128 0.500 0.976
# energy above the lowest structure with this stoichiometry	0	meV/atom

=====

2.
A geometry-optimized TmPu3Te4 structure. Source: Alexandria, functional PBE.

```
data_TmPu3Te4
_symmetry_space_group_name_H-M 'C m m m'
_symmetry_Int_Tables_number 65
_symmetry_space_group_name_Hall '-C 2 2'
_cell_length_a 8.815
_cell_length_b 12.442
_cell_length_c 4.397
_cell_angle_alpha 90.00
_cell_angle_beta 90.00
_cell_angle_gamma 90.00
loop_
_atom_site_label
_atom_site_type_symbol
_atom_site_fract_x
_atom_site_fract_y
_atom_site_fract_z
Tm1 Tm 0.000 0.000 0.000
Pu1 Pu 0.000 0.500 0.000
Pu2 Pu 0.250 0.250 0.500
Te1 Te 0.000 0.247 0.000
Te2 Te 0.244 0.000 0.500
```

=====

3.
# Tm2PuTe PBE relaxed
data_Tm2PuTe
_symmetry_space_group_name_H-M 'R -3 m'
_symmetry_Int_Tables_number 166
_symmetry_space_group_name_Hall '-R 3 2"'
_cell_length_a 3.7211
_cell_length_b 3.7211
_cell_length_c 31.9579
_cell_angle_alpha 90.00
_cell_angle_beta 90.00
_cell_angle_gamma 120.00
loop_
_atom_site_label
_atom_site_type_symbol
_atom_site_fract_x
_atom_site_fract_y
_atom_site_fract_z
Tm1 Tm 0.0000 0.0000 0.1008
Pu1 Pu 0.0000 0.0000 0.0000
Te1 Te 0.0000 0.0000 0.5000
# energy above the lowest structure with this stoichiometry	355	meV/atom

=====

4.
# Tm2PuTe4 PBE relaxed
data_Tm2PuTe4
_symmetry_space_group_name_H-M 'C m c m'
_symmetry_Int_Tables_number 63
_symmetry_space_group_name_Hall '-C 2c 2'
_cell_length_a 4.295
_cell_length_b 14.170
_cell_length_c 14.831
_cell_angle_alpha 90.00
_cell_angle_beta 90.00
_cell_angle_gamma 90.00
loop_
_atom_site_label
_atom_site_type_symbol
_atom_site_fract_x
_atom_site_fract_y
_atom_site_fract_z
Tm1 Tm 0.000 0.134 0.067
Pu1 Pu 0.000 0.381 0.250
Te1 Te 0.000 0.045 0.250
Te2 Te 0.000 0.226 0.620
Te3 Te 0.000 0.500 0.000
# energy above the lowest structure with this stoichiometry	0	meV/atom

=====

5.
A geometry-optimized TmPu4Te5 structure. Source: Alexandria, functional PBE.

```
data_TmPu4Te5
_symmetry_space_group_name_H-M 'I 4/m m m'
_symmetry_Int_Tables_number 139
_symmetry_space_group_name_Hall '-I 4 2'
_cell_length_a 4.413
_cell_length_b 4.413
_cell_length_c 31.142
_cell_angle_alpha 90.00
_cell_angle_beta 90.00
_cell_angle_gamma 90.00
loop_
_atom_site_label
_atom_site_type_symbol
_atom_site_fract_x
_atom_site_fract_y
_atom_site_fract_z
Tm1 Tm 0.000 0.000 0.000
Pu1 Pu 0.000 0.000 0.199
Pu2 Pu 0.000 0.000 0.401
Te1 Te 0.000 0.000 0.098
Te2 Te 0.000 0.000 0.300
Te3 Te 0.000 0.000 0.500
```

=====

6.
# Tm2PuTe PBE relaxed
data_Tm2PuTe
_symmetry_space_group_name_H-M 'P 4/m m m'
_symmetry_Int_Tables_number 123
_symmetry_space_group_name_Hall '-P 4 2'
_cell_length_a 3.774
_cell_length_b 3.774
_cell_length_c 7.718
_cell_angle_alpha 90.00
_cell_angle_beta 90.00
_cell_angle_gamma 90.00
loop_
_atom_site_label
_atom_site_type_symbol
_atom_site_fract_x
_atom_site_fract_y
_atom_site_fract_z
Tm1 Tm 0.000 0.000 0.230
Pu1 Pu 0.500 0.500 0.500
Te1 Te 0.500 0.500 0.000
# energy above the lowest structure with this stoichiometry	0	meV/atom

=====

7.
A geometry-optimized Tm5PuTe4 structure. Source: Alexandria, functional PBE.

```
data_Tm5PuTe4
_symmetry_space_group_name_H-M 'P m m n'
_symmetry_Int_Tables_number 59
_cell_length_a 9.087
_cell_length_b 9.757
_cell_length_c 7.327
_cell_angle_alpha 90.00
_cell_angle_beta 90.00
_cell_angle_gamma 90.00
loop_
_symmetry_equiv_pos_as_xyz
'x,y,z'
'-x,-y,-z'
'-x+1/2,-y+1/2,z'
'x+1/2,y+1/2,-z'
'x+1/2,-y,-z'
'-x+1/2,y,z'
'-x,y+1/2,-z'
'x,-y+1/2,z'
loop_
_atom_site_label
_atom_site_type_symbol
_atom_site_fract_x
_atom_site_fract_y
_atom_site_fract_z
Tm1 Tm 0.060 0.063 0.234
Tm2 Tm 0.250 0.750 0.230
Pu1 Pu 0.250 0.250 0.885
Te1 Te 0.026 0.250 0.564
Te2 Te 0.250 0.557 0.915
```

=====

8.
# TmPuTe2 PBE relaxed
data_TmPuTe2
_symmetry_space_group_name_H-M 'P 4/m m m'
_symmetry_Int_Tables_number 123
_symmetry_space_group_name_Hall '-P 4 2'
_cell_length_a 3.762
_cell_length_b 3.762
_cell_length_c 7.586
_cell_angle_alpha 90.00
_cell_angle_beta 90.00
_cell_angle_gamma 90.00
loop_
_atom_site_label
_atom_site_type_symbol
_atom_site_fract_x
_atom_site_fract_y
_atom_site_fract_z
Tm1 Tm 0.000 0.000 0.000
Pu1 Pu 0.000 0.000 0.500
Te1 Te 0.500 0.500 0.242
# energy above the lowest structure with this stoichiometry	149	meV/atom

=====

no.,size of the total moment (μB per formula unit),E_form (uncorrected) (eV/atom),V (Å³/atom)
1,11.0,-1.114,35.02
2,17.8,-1.127,30.14
3,6.9,-0.080,31.94
4,5.7,-1.238,32.24
5,23.6,-1.109,30.33
6,6.2,-0.435,27.49
7,6.6,-0.615,32.48
8,6.4,-1.015,26.85